The following is a PBE-GGA calculation of an optimized crystal structure of Si3PH9, from Alexandria.

VASP energy: -52.3 eV per formula unit

a b c (Å): 6.0071 12.6252 9.5683
angles (deg): 90.00 94.10 90.00
With the nearest neighbours (Å) after each atom.
Element x y z (fractional)
Si  0.1064  0.1147  0.3363  3 H 1.49
Si  0.1064  0.3853  0.8363  3 H 1.49
Si  0.2905  0.7189  0.3802  3 H 1.49
Si  0.2905  0.7811  0.8802  3 H 1.49
Si  0.2983  0.0418  0.8006  3 H 1.49-1.50
Si  0.2983  0.4582  0.3006  3 H 1.49-1.50
Si  0.7017  0.5418  0.6994  3 H 1.49-1.50
Si  0.7017  0.9582  0.1994  3 H 1.49-1.50
Si  0.7095  0.2189  0.1198  3 H 1.49
Si  0.7095  0.2811  0.6198  3 H 1.49
Si  0.8936  0.6147  0.1637  3 H 1.49
Si  0.8936  0.8853  0.6637  3 H 1.49
P  0.2707  0.6147  0.1875  3 Si 2.25-2.26
P  0.2707  0.8853  0.6875  3 Si 2.25-2.26
P  0.7293  0.1147  0.3125  3 Si 2.25-2.26
P  0.7293  0.3853  0.8125  3 Si 2.25-2.26
H  0.1401  0.0512  0.9137  1 Si 1.50
H  0.1401  0.4488  0.4137  1 Si 1.50
H  0.1535  0.6761  0.4917  1 Si 1.49
H  0.1535  0.8239  0.9917  1 Si 1.49
H  0.1802  0.2149  0.4080  1 Si 1.49
H  0.1802  0.2851  0.9080  1 Si 1.49
H  0.1842  0.0219  0.4234  1 Si 1.49
H  0.1842  0.4781  0.9234  1 Si 1.49
H  0.2036  0.1084  0.1971  1 Si 1.49
H  0.2036  0.3916  0.6971  1 Si 1.49
H  0.2052  0.6745  0.8354  1 Si 1.49
H  0.2052  0.8255  0.3354  1 Si 1.49
H  0.2496  0.1276  0.6955  1 Si 1.49
H  0.2496  0.3724  0.1955  1 Si 1.49
H  0.4684  0.5545  0.6369  1 Si 1.49
H  0.4684  0.9455  0.1369  1 Si 1.49
H  0.4714  0.2268  0.0656  1 Si 1.49
H  0.4714  0.2732  0.5656  1 Si 1.49
H  0.5286  0.7268  0.4344  1 Si 1.49
H  0.5286  0.7732  0.9344  1 Si 1.49
H  0.5316  0.0545  0.8631  1 Si 1.49
H  0.5316  0.4455  0.3631  1 Si 1.49
H  0.7504  0.6276  0.8045  1 Si 1.49
H  0.7504  0.8724  0.3045  1 Si 1.49
H  0.7948  0.1745  0.6646  1 Si 1.49
H  0.7948  0.3255  0.1646  1 Si 1.49
H  0.7964  0.6084  0.3029  1 Si 1.49
H  0.7964  0.8916  0.8029  1 Si 1.49
H  0.8158  0.5219  0.0766  1 Si 1.49
H  0.8158  0.9781  0.5766  1 Si 1.49
H  0.8198  0.7149  0.0920  1 Si 1.49
H  0.8198  0.7851  0.5920  1 Si 1.49
H  0.8465  0.1761  0.0083  1 Si 1.49
H  0.8465  0.3239  0.5083  1 Si 1.49
H  0.8599  0.5512  0.5863  1 Si 1.50
H  0.8599  0.9488  0.0863  1 Si 1.50


The following is a PBE-GGA calculation of an optimized crystal structure of LaGa4Ni3, from Alexandria.

formation energy from the elements: -351 kJ/mol of formula units
VASP energy: -38.0 eV per formula unit

a b c (Å): 4.1265 4.1265 7.9112
angles (deg): 90.00 90.00 90.00
With the nearest neighbours (Å) after each atom.
Element x y z (fractional)
La  0.0000  0.0000  0.0000  8 Ni 3.16, 8 Ga 3.31
Ga  0.0000  0.5000  0.3268  4 Ni 2.48, 1 Ga 2.74
Ga  0.0000  0.5000  0.6732  4 Ni 2.48, 1 Ga 2.74
Ga  0.5000  0.0000  0.3268  4 Ni 2.48, 1 Ga 2.74
Ga  0.5000  0.0000  0.6732  4 Ni 2.48, 1 Ga 2.74
Ni  0.0000  0.0000  0.5000  8 Ga 2.48
Ni  0.5000  0.5000  0.1517  1 Ni 2.40, 4 Ga 2.48
Ni  0.5000  0.5000  0.8483  1 Ni 2.40, 4 Ga 2.48


The following is a PBE-GGA calculation of an optimized crystal structure of BeFeAs6, from Alexandria.

formation energy from the elements: -30 kJ/mol of formula units
VASP energy: -40.4 eV per formula unit

a b c (Å): 7.2314 7.2314 8.3777
angles (deg): 125.30 125.30 70.18
With the nearest neighbours (Å) after each atom.
Element x y z (fractional)
Be  0.0000  0.5000  0.0000  6 As 2.40-2.44
Be  0.5000  0.0000  0.0000  6 As 2.40-2.44
Fe  0.0000  0.5000  0.5000  6 As 2.34-2.36
Fe  0.5000  0.0000  0.5000  6 As 2.34-2.36
As  0.1456  0.8415  0.6473  1 Fe 2.34, 1 Be 2.44, 2 As 2.53-2.58
As  0.1585  0.8544  0.3527  1 Fe 2.34, 1 Be 2.44, 2 As 2.53-2.58
As  0.1955  0.5055  0.8438  1 Fe 2.34, 1 Be 2.44, 2 As 2.51-2.58
As  0.3375  0.3375  0.4873  2 Fe 2.36, 2 As 2.51-2.59
As  0.3530  0.3530  0.2035  2 Be 2.40, 2 As 2.51-2.59
As  0.4945  0.8045  0.1562  1 Fe 2.34, 1 Be 2.44, 2 As 2.51-2.58
As  0.5055  0.1955  0.8438  1 Fe 2.34, 1 Be 2.44, 2 As 2.51-2.58
As  0.6470  0.6470  0.7965  2 Be 2.40, 2 As 2.51-2.59
As  0.6625  0.6625  0.5127  2 Fe 2.36, 2 As 2.51-2.59
As  0.8045  0.4945  0.1562  1 Fe 2.34, 1 Be 2.44, 2 As 2.51-2.58
As  0.8415  0.1456  0.6473  1 Fe 2.34, 1 Be 2.44, 2 As 2.53-2.58
As  0.8544  0.1585  0.3527  1 Fe 2.34, 1 Be 2.44, 2 As 2.53-2.58


Per-record ρ, kg/m³: 1141 7321 5855
Per-record M_tot, μB/cell: 0.00 0.00 0.00